# Y2Be3SiPt4

A geometry-optimized Y2Be3SiPt4 structure (GGA-PBE, the Alexandria database).

Cell lengths 4.0840, 4.0840, 9.5097 Å; angles 90.00, 90.00, 90.00 degrees
Atoms (fractional coordinates):
Be 0.0000 0.5000 0.1222
Si 0.5000 0.5000 0.5000
Be 0.0000 0.0000 0.5000
Be 0.5000 0.0000 0.8778
Pt 0.0000 0.0000 0.0000
Y 0.5000 0.0000 0.2491
Pt 0.0000 0.5000 0.3667
Pt 0.5000 0.5000 0.0000
Pt 0.5000 0.0000 0.6333
Y 0.0000 0.5000 0.7509

Properties
Formation energy (no corrections) = -9.819 eV/f.u.
Mass density = 10.608 Mg/m³

---

# Sc3ReSn

A geometry-optimized Sc3ReSn structure (GGA-PBE, the Alexandria database).

Cell lengths 5.1582, 5.1582, 5.1582 Å; angles 90.00, 90.00, 90.00 degrees
Atoms (fractional coordinates):
Sc 0.0000 0.5000 0.0000
Re 0.5000 0.5000 0.5000
Sn 0.0000 0.0000 0.0000
Sc 0.0000 0.0000 0.5000
Sc 0.5000 0.0000 0.0000

Properties
ΔH_f (0 K) = 1.258 eV per atom
Mass density = 5.321 Mg/m³

---

# PrZnGa2

A geometry-optimized PrZnGa2 structure (GGA-PBE, the Alexandria database).

Cell lengths 3.6093, 5.3111, 5.3111 Å; angles 117.26, 90.00, 90.00 degrees
Atoms (fractional coordinates):
Pr 0.0000 0.0538 0.9462
Ga 0.5000 0.5538 0.9463
Ga 0.5000 0.0537 0.4462
Zn 0.5000 0.5537 0.4463

Properties
ΔH_f (0 K) = -0.289 eV per atom
Mass density = 6.344 Mg/m³

---

# Ce5Tc2Rh2

A geometry-optimized Ce5Tc2Rh2 structure (GGA-PBE, the Alexandria database).

Cell lengths 6.7251, 7.1970, 9.8284 Å; angles 111.48, 110.01, 90.00 degrees
Atoms (fractional coordinates):
Tc 0.4998 0.9734 0.8486
Ce 0.4659 0.4912 0.3013
Ce 0.7517 0.8111 0.1474
Ce 0.1043 0.1637 0.8526
Ce 0.8957 0.3111 0.1474
Rh 0.7526 0.8905 0.5000
Ce 0.8648 0.2507 0.5000
Rh 0.0000 0.9408 0.0000
Rh 0.5000 0.4408 0.0000
Ce 0.5341 0.1899 0.6987
Tc 0.1512 0.6248 0.1514
Tc 0.8488 0.4734 0.8486
Ce 0.1352 0.7507 0.5000
Rh 0.2474 0.3905 0.5000
Ce 0.3354 0.9912 0.3013
Tc 0.5002 0.1248 0.1514
Ce 0.6646 0.6899 0.6987
Ce 0.2483 0.6637 0.8526

Properties
ΔH_f (0 K) = -0.319 eV per atom
Mass density = 8.893 Mg/m³

---

# IrOs2Au

A geometry-optimized IrOs2Au structure (GGA-PBE, the Alexandria database).

Cell lengths 2.7813, 2.7813, 7.8950 Å; angles 90.00, 90.00, 90.00 degrees
Atoms (fractional coordinates):
Ir 0.5000 0.5000 0.7676
Os 0.0000 0.0000 0.0047
Au 0.0000 0.0000 0.4987
Os 0.5000 0.5000 0.2290

Properties
ΔH_f (0 K) = 0.281 eV per atom
Mass density = 20.926 Mg/m³

---

# Li2POs

A geometry-optimized Li2POs structure (GGA-PBE, the Alexandria database).

Cell lengths 3.4833, 3.4833, 4.1707 Å; angles 90.00, 90.00, 90.00 degrees
Atoms (fractional coordinates):
Os 0.5000 0.0000 0.5000
P 0.0000 0.5000 0.5000
Li 0.5000 0.5000 0.0000
Li 0.0000 0.0000 0.0000

Properties
ΔH_f (0 K) = -0.062 eV per atom
Mass density = 7.714 Mg/m³

---

What is the mass density in the sixth record? 7.714 Mg/m³

---

What is the mass density in the sixth record? 7.714 Mg/m³

---

Please write out number 6 again, unchanged.
# Li2POs

A geometry-optimized Li2POs structure (GGA-PBE, the Alexandria database).

Cell lengths 3.4833, 3.4833, 4.1707 Å; angles 90.00, 90.00, 90.00 degrees
Atoms (fractional coordinates):
Os 0.5000 0.0000 0.5000
P 0.0000 0.5000 0.5000
Li 0.5000 0.5000 0.0000
Li 0.0000 0.0000 0.0000

Properties
ΔH_f (0 K) = -0.062 eV per atom
Mass density = 7.714 Mg/m³

---

Repeat the second record exactly.
# Sc3ReSn

A geometry-optimized Sc3ReSn structure (GGA-PBE, the Alexandria database).

Cell lengths 5.1582, 5.1582, 5.1582 Å; angles 90.00, 90.00, 90.00 degrees
Atoms (fractional coordinates):
Sc 0.0000 0.5000 0.0000
Re 0.5000 0.5000 0.5000
Sn 0.0000 0.0000 0.0000
Sc 0.0000 0.0000 0.5000
Sc 0.5000 0.0000 0.0000

Properties
ΔH_f (0 K) = 1.258 eV per atom
Mass density = 5.321 Mg/m³